(1)
The following is a PBE calculation of a relaxed LiAlTc crystal, from Alexandria via LeMat-Bulk.

**E above lowest polymorph**: 194.5 meV per atom

Cell and atoms, written as CIF:
```
data_LiAlTc
_chemical_formula_sum 'Li1 Al1 Tc1'
_space_group_name_H-M_alt 'P 3 m 1'
_space_group_IT_number 156
_cell_length_a 4.2958
_cell_length_b 4.2958
_cell_length_c 2.5980
_cell_angle_alpha 90.00
_cell_angle_beta 90.00
_cell_angle_gamma 120.00
loop_
_space_group_symop_operation_xyz
'x,y,z'
'-y,x-y,z'
'-x+y,-x,z'
'-y,-x,z'
'-x+y,y,z'
'x,x-y,z'
loop_
_atom_site_label
_atom_site_type_symbol
_atom_site_fract_x
_atom_site_fract_y
_atom_site_fract_z
_atom_site_occupancy
Li1 Li 0.0000 0.0000 0.0000 1
Al1 Al 0.3333 0.6667 0.7929 1
Tc1 Tc 0.6667 0.3333 0.3755 1
```

---

(2)
The following is a PBE calculation of a relaxed LiAlTc2 crystal, from Alexandria via LeMat-Bulk.

Cell and atoms, written as CIF:
```
data_LiAlTc2
_chemical_formula_sum 'Li3 Al3 Tc6'
_space_group_name_H-M_alt 'R 3 m'
_space_group_IT_number 160
_space_group_name_Hall 'R 3 -2"'
_cell_length_a 2.7797
_cell_length_b 2.7797
_cell_length_c 27.1219
_cell_angle_alpha 90.00
_cell_angle_beta 90.00
_cell_angle_gamma 120.00
loop_
_atom_site_label
_atom_site_type_symbol
_atom_site_fract_x
_atom_site_fract_y
_atom_site_fract_z
_atom_site_occupancy
Li1 Li 0.0000 0.0000 0.0000 1
Al1 Al 0.0000 0.0000 0.7556 1
Tc1 Tc 0.0000 0.0000 0.2460 1
Tc2 Tc 0.0000 0.0000 0.5032 1
```

---

(3)
The following is a PBE calculation of a relaxed LiAlTc crystal, from Alexandria via LeMat-Bulk.

**E above lowest polymorph**: 209.6 meV per atom

Cell and atoms, written as CIF:
```
data_LiAlTc
_chemical_formula_sum 'Li2 Al2 Tc2'
_space_group_name_H-M_alt 'I m m 2'
_space_group_IT_number 44
_cell_length_a 2.5941
_cell_length_b 4.0924
_cell_length_c 7.9168
_cell_angle_alpha 90.00
_cell_angle_beta 90.00
_cell_angle_gamma 90.00
loop_
_space_group_symop_operation_xyz
'x,y,z'
'-x,-y,z'
'-x,y,z'
'x,-y,z'
'x+1/2,y+1/2,z+1/2'
'-x+1/2,-y+1/2,z+1/2'
'-x+1/2,y+1/2,z+1/2'
'x+1/2,-y+1/2,z+1/2'
loop_
_atom_site_label
_atom_site_type_symbol
_atom_site_fract_x
_atom_site_fract_y
_atom_site_fract_z
_atom_site_occupancy
Li1 Li 0.0000 0.0000 0.0000 1
Al1 Al 0.0000 0.0000 0.3326 1
Tc1 Tc 0.0000 0.0000 0.6719 1
```

---

Summary of magnetization in μB/atom
0.000; 0.000; 0.000
(order as listed above)
Summary of ΔE_f in eV/atom
-0.0550; -0.0082; -0.0398
(order as listed above)